P) Compound: AlCu4Si2
Source: the Alexandria database
Functional: PBE
Structure: relaxed

The calculation puts the density of states at the Fermi level at 0.23 states/eV/atom. The symmetry is No. 2.

abc: 3.036 4.120 16.886
angles: 89.24 85.04 68.57
Sites, in units of the cell vectors:
1 Al 0.084 0.226 0.107
2 Al 0.916 0.774 0.893
3 Cu 0.001 0.241 0.254
4 Cu 0.167 0.210 0.959
5 Cu 0.167 0.708 0.458
6 Cu 0.330 0.174 0.666
7 Cu 0.670 0.826 0.334
8 Cu 0.833 0.292 0.542
9 Cu 0.833 0.790 0.041
10 Cu 0.999 0.759 0.746
11 Si 0.085 0.734 0.602
12 Si 0.251 0.192 0.810
13 Si 0.749 0.808 0.190
14 Si 0.915 0.266 0.398

=====

Q) Compound: AlCu4Si2
Source: the Alexandria database
Functional: PBE
Structure: relaxed

The calculation puts the density of states at the Fermi level at 0.28 states/eV/atom. The symmetry is No. 186.

abc: 3.940 3.940 15.333
angles: 90.00 90.00 120.00
Sites, in units of the cell vectors:
1 Al 0.000 0.000 0.000
2 Al 0.000 0.000 0.500
3 Cu 0.000 0.000 0.161
4 Cu 0.000 0.000 0.317
5 Cu 0.000 0.000 0.661
6 Cu 0.000 0.000 0.817
7 Cu 0.333 0.667 0.076
8 Cu 0.333 0.667 0.387
9 Cu 0.667 0.333 0.576
10 Cu 0.667 0.333 0.887
11 Si 0.333 0.667 0.229
12 Si 0.333 0.667 0.918
13 Si 0.667 0.333 0.418
14 Si 0.667 0.333 0.729

=====

The structure with the least stability is Q).

=====

P) Compound: AlCu3Si
Source: the Alexandria database
Functional: PBE
Structure: relaxed

The calculation puts the density of states at the Fermi level at 0.32 states/eV/atom. The symmetry is No. 221.

abc: 4.472 4.472 4.472
angles: 90.00 90.00 90.00
Sites, in units of the cell vectors:
1 Al 0.000 0.000 0.000
2 Cu 0.000 0.000 0.500
3 Cu 0.000 0.500 0.000
4 Cu 0.500 0.000 0.000
5 Si 0.500 0.500 0.500

=====

Q) Compound: AlCu3Si
Source: the Alexandria database
Functional: PBE
Structure: relaxed

The calculation puts the density of states at the Fermi level at 0.48 states/eV/atom. The symmetry is No. 221.

abc: 4.415 4.415 4.415
angles: 90.00 90.00 90.00
Sites, in units of the cell vectors:
1 Al 0.000 0.000 0.000
2 Cu 0.000 0.500 0.500
3 Cu 0.500 0.000 0.500
4 Cu 0.500 0.500 0.000
5 Si 0.500 0.500 0.500

=====

R) Compound: AlCu3Si
Source: the Alexandria database
Functional: PBE
Structure: relaxed

The calculation puts the density of states at the Fermi level at 0.47 states/eV/atom. The symmetry is No. 221.

abc: 5.805 5.805 5.805
angles: 90.00 90.00 90.00
Sites, in units of the cell vectors:
1 Al 0.000 0.000 0.500
2 Al 0.000 0.500 0.000
3 Al 0.500 0.000 0.000
4 Cu 0.000 0.000 0.000
5 Cu 0.265 0.265 0.265
6 Cu 0.265 0.265 0.735
7 Cu 0.265 0.735 0.265
8 Cu 0.265 0.735 0.735
9 Cu 0.735 0.265 0.265
10 Cu 0.735 0.265 0.735
11 Cu 0.735 0.735 0.265
12 Cu 0.735 0.735 0.735
13 Si 0.000 0.500 0.500
14 Si 0.500 0.000 0.500
15 Si 0.500 0.500 0.000

=====

The structure with the least stability is P).

=====

P) Compound: AlCu3Si3
Source: the Alexandria database
Functional: PBE
Structure: relaxed

The calculation puts the density of states at the Fermi level at 0.37 states/eV/atom. The symmetry is No. 59.

abc: 3.887 5.935 8.675
angles: 90.00 90.00 90.00
Sites, in units of the cell vectors:
1 Al 0.250 0.250 0.205
2 Al 0.750 0.750 0.795
3 Cu 0.250 0.003 0.908
4 Cu 0.250 0.497 0.908
5 Cu 0.250 0.750 0.420
6 Cu 0.750 0.250 0.580
7 Cu 0.750 0.503 0.092
8 Cu 0.750 0.997 0.092
9 Si 0.250 0.016 0.627
10 Si 0.250 0.484 0.627
11 Si 0.250 0.750 0.138
12 Si 0.750 0.250 0.862
13 Si 0.750 0.516 0.373
14 Si 0.750 0.984 0.373

=====

Q) Compound: AlCu3Si3
Source: the Alexandria database
Functional: PBE
Structure: relaxed

The calculation puts the density of states at the Fermi level at 0.44 states/eV/atom. The symmetry is No. 59.

abc: 3.735 6.504 8.213
angles: 90.00 90.00 90.00
Sites, in units of the cell vectors:
1 Al 0.250 0.250 0.202
2 Al 0.750 0.750 0.798
3 Cu 0.250 0.052 0.863
4 Cu 0.250 0.448 0.863
5 Cu 0.250 0.750 0.321
6 Cu 0.750 0.250 0.679
7 Cu 0.750 0.552 0.137
8 Cu 0.750 0.948 0.137
9 Si 0.250 0.561 0.586
10 Si 0.250 0.750 0.028
11 Si 0.250 0.939 0.586
12 Si 0.750 0.061 0.414
13 Si 0.750 0.250 0.972
14 Si 0.750 0.439 0.414

=====

The structure with the least stability is P).

=====

P) Compound: AlCu3Si3
Source: the Alexandria database
Functional: PBE
Structure: relaxed

The calculation puts the density of states at the Fermi level at 0.26 states/eV/atom. The symmetry is No. 176.

abc: 7.620 7.620 3.861
angles: 90.00 90.00 120.00
Sites, in units of the cell vectors:
1 Al 0.333 0.667 0.250
2 Al 0.667 0.333 0.750
3 Cu 0.105 0.504 0.750
4 Cu 0.399 0.895 0.750
5 Cu 0.496 0.601 0.750
6 Cu 0.504 0.399 0.250
7 Cu 0.601 0.105 0.250
8 Cu 0.895 0.496 0.250
9 Si 0.040 0.790 0.750
10 Si 0.210 0.249 0.750
11 Si 0.249 0.040 0.250
12 Si 0.751 0.960 0.750
13 Si 0.790 0.751 0.250
14 Si 0.960 0.210 0.250

=====

Q) Compound: AlCu3Si3
Source: the Alexandria database
Functional: PBE
Structure: relaxed

The calculation puts the density of states at the Fermi level at 0.13 states/eV/atom. The symmetry is No. 194.

abc: 7.277 7.277 4.394
angles: 90.00 90.00 120.00
Sites, in units of the cell vectors:
1 Al 0.333 0.667 0.250
2 Al 0.667 0.333 0.750
3 Cu 0.128 0.255 0.250
4 Cu 0.128 0.872 0.250
5 Cu 0.255 0.128 0.750
6 Cu 0.745 0.872 0.250
7 Cu 0.872 0.128 0.750
8 Cu 0.872 0.745 0.750
9 Si 0.221 0.441 0.750
10 Si 0.221 0.779 0.750
11 Si 0.441 0.221 0.250
12 Si 0.559 0.779 0.750
13 Si 0.779 0.221 0.250
14 Si 0.779 0.559 0.250

=====

The structure with the least stability is P).